Entry 1:
A relaxed structure of YTl2Rh, computed with GGA-PBE. Values from VASP.

Geometry as Quantum ESPRESSO input:
```
&SYSTEM
  ibrav = 0, nat = 4, ntyp = 3
/
ATOMIC_SPECIES
Rh 102.91 Rh.upf
Tl 204.38 Tl.upf
Y 88.91 Y.upf
CELL_PARAMETERS angstrom
-0.4356 8.5024 -2.6512
-3.3467 7.0942 -4.2403
-3.5086 8.1582 -0.8017
ATOMIC_POSITIONS crystal
Rh 0.7500 0.7500 0.7500
Tl 0.0126 0.0126 0.0126
Tl 0.4874 0.4874 0.4874
Y 0.2500 0.2500 0.2500
```

E_form: -0.02 eV/atom
Space-group type: R-3m (166)

=====

Entry 2:
A relaxed structure of Y2TlRh, computed with GGA-PBE. Values from VASP.

Geometry as Quantum ESPRESSO input:
```
&SYSTEM
  ibrav = 0, nat = 4, ntyp = 3
/
ATOMIC_SPECIES
Rh 102.91 Rh.upf
Tl 204.38 Tl.upf
Y 88.91 Y.upf
CELL_PARAMETERS angstrom
-1.1376 4.3385 0.1946
-3.5397 -0.9905 1.3911
0.2109 -0.2112 5.9410
ATOMIC_POSITIONS crystal
Rh 0.0000 0.7176 0.4411
Tl 0.5000 0.5487 0.7768
Y 0.0000 0.9672 0.9400
Y 0.5000 0.2664 0.3420
```

E_form: -0.51 eV/atom
Space-group type: Amm2 (38)

=====

Entry 3:
A relaxed structure of YTlRh, computed with GGA-PBE. Values from VASP.

Geometry as Quantum ESPRESSO input:
```
&SYSTEM
  ibrav = 0, nat = 6, ntyp = 3
/
ATOMIC_SPECIES
Y 88.91 Y.upf
Tl 204.38 Tl.upf
Rh 102.91 Rh.upf
CELL_PARAMETERS angstrom
4.3142 -0.0124 -0.0082
0.0116 4.3215 -0.4415
0.0160 0.7448 7.2899
ATOMIC_POSITIONS crystal
Y 0.0229 0.8379 0.6635
Y 0.5229 0.3378 0.3834
Tl 0.0229 0.3379 0.0234
Tl 0.5229 0.8379 0.0235
Rh 0.5230 0.3377 0.7561
Rh 0.0229 0.8378 0.2908
```

E_form: -0.39 eV/atom
Space-group type: Pmmn (59)

=====

Entry 4:
A relaxed structure of YTlRh, computed with GGA-PBE. Values from VASP.

Geometry as Quantum ESPRESSO input:
```
&SYSTEM
  ibrav = 0, nat = 3, ntyp = 3
/
ATOMIC_SPECIES
Rh 102.91 Rh.upf
Tl 204.38 Tl.upf
Y 88.91 Y.upf
CELL_PARAMETERS angstrom
4.8099 0.0000 0.0000
2.4050 4.1655 0.0000
2.4050 1.3885 3.9273
ATOMIC_POSITIONS crystal
Rh 0.0000 0.0000 0.0000
Tl 0.5000 0.5000 0.5000
Y 0.7500 0.7500 0.7500
```

E_form: 0.12 eV/atom
Space-group type: F-43m (216)

=====

Entry 5:
A relaxed structure of YTlRh, computed with GGA-PBE. Values from VASP.

Geometry as Quantum ESPRESSO input:
```
&SYSTEM
  ibrav = 0, nat = 18, ntyp = 3
/
ATOMIC_SPECIES
Y 88.91 Y.upf
Tl 204.38 Tl.upf
Rh 102.91 Rh.upf
CELL_PARAMETERS angstrom
3.8118 0.0000 0.0000
0.0000 7.9100 0.0000
0.0000 0.0000 13.3058
ATOMIC_POSITIONS crystal
Y 0.0000 0.2174 0.9523
Y 0.0000 0.7826 0.0477
Y 0.0000 0.2174 0.5477
Y 0.0000 0.7826 0.4523
Y 0.0000 0.1654 0.2500
Y 0.0000 0.8346 0.7500
Tl 0.5000 0.4294 0.1132
Tl 0.5000 0.5706 0.8868
Tl 0.5000 0.4294 0.3868
Tl 0.5000 0.5706 0.6132
Tl 0.5000 0.8180 0.2500
Tl 0.5000 0.1820 0.7500
Rh 0.5000 0.0654 0.0966
Rh 0.5000 0.9346 0.9034
Rh 0.5000 0.0654 0.4034
Rh 0.5000 0.9346 0.5966
Rh 0.0000 0.5579 0.2500
Rh 0.0000 0.4421 0.7500
```

E_form: -0.56 eV/atom
Space-group type: Pmma (51)

=====

Entry 6:
A relaxed structure of YTlRh, computed with GGA-PBE. Values from VASP.

Geometry as Quantum ESPRESSO input:
```
&SYSTEM
  ibrav = 0, nat = 3, ntyp = 3
/
ATOMIC_SPECIES
Rh 102.91 Rh.upf
Tl 204.38 Tl.upf
Y 88.91 Y.upf
CELL_PARAMETERS angstrom
-3.6547 1.8607 2.4028
-0.1890 -4.5067 -1.4989
1.3978 -1.0314 2.9247
ATOMIC_POSITIONS crystal
Rh 0.0000 0.0000 0.1675
Tl 0.6667 0.3333 0.1662
Y 0.3333 0.6667 0.6663
```

E_form: -0.40 eV/atom
Space-group type: P-6m2 (187)

=====

Entry 7:
A relaxed structure of Y2TlRh, computed with GGA-PBE. Values from VASP.

Geometry as Quantum ESPRESSO input:
```
&SYSTEM
  ibrav = 0, nat = 4, ntyp = 3
/
ATOMIC_SPECIES
Rh 102.91 Rh.upf
Tl 204.38 Tl.upf
Y 88.91 Y.upf
CELL_PARAMETERS angstrom
-2.8384 0.9984 2.5961
-1.2738 -3.7617 0.0539
4.2276 -1.3578 5.1444
ATOMIC_POSITIONS crystal
Rh 0.0000 0.0000 0.4008
Tl 0.5000 0.5000 0.7747
Y 0.0000 0.0000 0.9965
Y 0.5000 0.5000 0.3280
```

E_form: -0.30 eV/atom
Space-group type: P4mm (99)

=====

Entry 8:
A relaxed structure of Y2TlRh, computed with GGA-PBE. Values from VASP.

Geometry as Quantum ESPRESSO input:
```
&SYSTEM
  ibrav = 0, nat = 4, ntyp = 3
/
ATOMIC_SPECIES
Y 88.91 Y.upf
Tl 204.38 Tl.upf
Rh 102.91 Rh.upf
CELL_PARAMETERS angstrom
3.5514 0.0000 0.0000
0.0000 3.4328 0.0051
0.0000 3.4199 7.8720
ATOMIC_POSITIONS crystal
Y 0.0000 0.9641 0.0360
Y 0.0000 0.5359 0.4640
Tl 0.5000 0.7500 0.7500
Rh 0.5000 0.2500 0.2500
```

E_form: -0.61 eV/atom
Space-group type: Pmmm (47)

=====

Entry 9:
A relaxed structure of YTl2Rh, computed with GGA-PBE. Values from VASP.

Geometry as Quantum ESPRESSO input:
```
&SYSTEM
  ibrav = 0, nat = 4, ntyp = 3
/
ATOMIC_SPECIES
Rh 102.91 Rh.upf
Tl 204.38 Tl.upf
Y 88.91 Y.upf
CELL_PARAMETERS angstrom
8.5471 -0.0555 -0.0332
7.6828 3.7459 -0.0332
7.6828 1.7469 3.3138
ATOMIC_POSITIONS crystal
Rh 0.7513 0.7513 0.7513
Tl 0.0178 0.0178 0.0178
Tl 0.2514 0.2514 0.2514
Y 0.4794 0.4794 0.4794
```

E_form: -0.13 eV/atom
Space-group type: R3m (160)

=====

Entry 10:
A relaxed structure of Y5TlRh2, computed with GGA-PBE. Values from VASP.

Geometry as Quantum ESPRESSO input:
```
&SYSTEM
  ibrav = 0, nat = 16, ntyp = 3
/
ATOMIC_SPECIES
Y 88.91 Y.upf
Tl 204.38 Tl.upf
Rh 102.91 Rh.upf
CELL_PARAMETERS angstrom
7.0482 0.0000 -3.3271
-1.5706 6.8710 -3.3271
-0.1775 -0.2227 8.7530
ATOMIC_POSITIONS crystal
Y 0.5240 0.7058 0.7298
Y 0.7942 0.9760 0.2702
Y 0.0000 0.0000 0.0000
Y 0.5000 0.5000 0.0000
Y 0.2058 0.0240 0.7298
Y 0.7058 0.2058 0.7298
Y 0.0240 0.5240 0.7298
Y 0.2942 0.7942 0.2702
Y 0.9760 0.4760 0.2702
Y 0.4760 0.2942 0.2702
Tl 0.7500 0.7500 0.5000
Tl 0.2500 0.2500 0.5000
Rh 0.1389 0.3611 0.0000
Rh 0.6389 0.1389 0.0000
Rh 0.3611 0.8611 0.0000
Rh 0.8611 0.6389 0.0000
```

E_form: -0.60 eV/atom
Space-group type: I4/mcm (140)

=====

Entry 11:
A relaxed structure of YTl2Rh, computed with GGA-PBE. Values from VASP.

Geometry as Quantum ESPRESSO input:
```
&SYSTEM
  ibrav = 0, nat = 8, ntyp = 3
/
ATOMIC_SPECIES
Y 88.91 Y.upf
Tl 204.38 Tl.upf
Rh 102.91 Rh.upf
CELL_PARAMETERS angstrom
8.4908 0.0000 0.0000
0.0000 8.4908 0.0000
4.2454 4.2454 2.8153
ATOMIC_POSITIONS crystal
Y 0.5000 0.5000 0.0000
Y 0.2500 0.7500 0.5000
Tl 0.6888 0.1250 0.2500
Tl 0.0612 0.6250 0.2500
Tl 0.3750 0.3112 0.7500
Tl 0.8750 0.9388 0.7500
Rh 0.0000 0.0000 0.0000
Rh 0.7500 0.2500 0.5000
```

E_form: -0.11 eV/atom
Space-group type: I-42d (122)

=====

Entry 12:
A relaxed structure of Y3TlRh4, computed with GGA-PBE. Values from VASP.

Geometry as Quantum ESPRESSO input:
```
&SYSTEM
  ibrav = 0, nat = 8, ntyp = 3
/
ATOMIC_SPECIES
Y 88.91 Y.upf
Tl 204.38 Tl.upf
Rh 102.91 Rh.upf
CELL_PARAMETERS angstrom
-1.9420 -4.3316 -0.7672
1.5904 -2.7417 -3.6162
5.1836 -5.5799 3.3131
ATOMIC_POSITIONS crystal
Y 0.2551 0.2551 0.2347
Y 0.7449 0.7449 0.7653
Y 0.5000 0.5000 0.5000
Tl 0.0000 0.0000 0.0000
Rh 0.8743 0.8743 0.3771
Rh 0.3780 0.3780 0.8661
Rh 0.1257 0.1257 0.6229
Rh 0.6220 0.6220 0.1339
```

E_form: -0.68 eV/atom
Space-group type: R-3m (166)

=====

Entry 13:
A relaxed structure of Y7Tl2Rh2, computed with GGA-PBE. Values from VASP.

Geometry as Quantum ESPRESSO input:
```
&SYSTEM
  ibrav = 0, nat = 11, ntyp = 3
/
ATOMIC_SPECIES
Y 88.91 Y.upf
Tl 204.38 Tl.upf
Rh 102.91 Rh.upf
CELL_PARAMETERS angstrom
-1.8798 -2.3078 -6.1853
6.8218 -1.3523 -1.5687
-0.0779 -5.3626 4.2842
ATOMIC_POSITIONS crystal
Y 0.0000 0.2486 0.5000
Y 0.5000 0.7514 0.0000
Y 0.0000 0.7514 0.5000
Y 0.5000 0.2486 0.0000
Y 0.0000 0.0000 0.0000
Y 0.5000 0.7596 0.5000
Y 0.5000 0.2404 0.5000
Tl 0.8177 0.5000 0.8177
Tl 0.1823 0.5000 0.1823
Rh 0.7115 0.0000 0.2885
Rh 0.2885 0.0000 0.7115
```

E_form: -0.38 eV/atom
Space-group type: Cmmm (65)

=====

Entry 14:
A relaxed structure of Y2TlRh, computed with GGA-PBE. Values from VASP.

Geometry as Quantum ESPRESSO input:
```
&SYSTEM
  ibrav = 0, nat = 4, ntyp = 3
/
ATOMIC_SPECIES
Y 88.91 Y.upf
Tl 204.38 Tl.upf
Rh 102.91 Rh.upf
CELL_PARAMETERS angstrom
3.8521 -0.0505 0.0485
1.9232 3.3380 0.0485
1.9070 1.0856 8.2875
ATOMIC_POSITIONS crystal
Y 0.9839 0.9839 0.0491
Y 0.5161 0.5161 0.4509
Tl 0.7500 0.7500 0.7500
Rh 0.2500 0.2500 0.2500
```

E_form: -0.51 eV/atom
Space-group type: C2/m (12)

=====

Entry 15:
A relaxed structure of Y8Tl2Rh, computed with GGA-PBE. Values from VASP.

Geometry as Quantum ESPRESSO input:
```
&SYSTEM
  ibrav = 0, nat = 11, ntyp = 3
/
ATOMIC_SPECIES
Y 88.91 Y.upf
Tl 204.38 Tl.upf
Rh 102.91 Rh.upf
CELL_PARAMETERS angstrom
5.2354 0.0000 0.0000
0.0000 6.7655 -0.2076
-2.6177 -3.1467 8.9732
ATOMIC_POSITIONS crystal
Y 0.4101 0.5606 0.8202
Y 0.6489 0.9869 0.2979
Y 0.7913 0.6761 0.5825
Y 0.9812 0.2105 0.9624
Y 0.2087 0.3239 0.4175
Y 0.3511 0.0131 0.7021
Y 0.5899 0.4394 0.1798
Y 0.0188 0.7895 0.0376
Tl 0.8253 0.2627 0.6507
Tl 0.1747 0.7373 0.3493
Rh 0.5000 0.0000 0.0000
```

E_form: -0.29 eV/atom
Space-group type: C2/m (12)

=====

Entry 16:
A relaxed structure of YTl2Rh, computed with GGA-PBE. Values from VASP.

Geometry as Quantum ESPRESSO input:
```
&SYSTEM
  ibrav = 0, nat = 4, ntyp = 3
/
ATOMIC_SPECIES
Rh 102.91 Rh.upf
Tl 204.38 Tl.upf
Y 88.91 Y.upf
CELL_PARAMETERS angstrom
3.5264 0.0000 0.0000
0.0000 3.5264 0.0000
0.0000 0.0000 7.1802
ATOMIC_POSITIONS crystal
Rh 0.5000 0.5000 0.7500
Tl 0.0000 0.0000 0.9618
Tl 0.0000 0.0000 0.5382
Y 0.5000 0.5000 0.2500
```

E_form: -0.14 eV/atom
Space-group type: P4/mmm (123)

=====

Entry 17:
A relaxed structure of Y5TlRh, computed with GGA-PBE. Values from VASP.

Geometry as Quantum ESPRESSO input:
```
&SYSTEM
  ibrav = 0, nat = 14, ntyp = 3
/
ATOMIC_SPECIES
Y 88.91 Y.upf
Tl 204.38 Tl.upf
Rh 102.91 Rh.upf
CELL_PARAMETERS angstrom
-4.3516 0.9778 3.9799
-4.4783 -3.3370 -2.1311
0.6016 -9.7331 6.8597
ATOMIC_POSITIONS crystal
Y 0.9210 0.5808 0.1238
Y 0.2119 0.5430 0.5635
Y 0.5808 0.9210 0.6238
Y 0.0015 0.9985 0.2500
Y 0.4570 0.7881 0.9365
Y 0.5430 0.2119 0.0635
Y 0.9985 0.0015 0.7500
Y 0.4192 0.0790 0.3762
Y 0.7881 0.4570 0.4365
Y 0.0790 0.4192 0.8762
Tl 0.4097 0.5903 0.2500
Tl 0.5903 0.4097 0.7500
Rh 0.0000 0.0000 0.0000
Rh 0.0000 0.0000 0.5000
```

E_form: -0.25 eV/atom
Space-group type: C2/c (15)

=====

Entry 18:
A relaxed structure of Y2TlRh2, computed with GGA-PBE. Values from VASP.

Geometry as Quantum ESPRESSO input:
```
&SYSTEM
  ibrav = 0, nat = 5, ntyp = 3
/
ATOMIC_SPECIES
Y 88.91 Y.upf
Tl 204.38 Tl.upf
Rh 102.91 Rh.upf
CELL_PARAMETERS angstrom
-2.4129 1.4416 -2.8336
-0.6442 -3.7052 -1.3364
-7.4314 -1.7966 2.6033
ATOMIC_POSITIONS crystal
Y 0.3768 0.3768 0.2464
Y 0.6232 0.6232 0.7536
Tl 0.0000 0.0000 0.0000
Rh 0.7500 0.2500 0.5000
Rh 0.2500 0.7500 0.5000
```

E_form: -0.34 eV/atom
Space-group type: I4/mmm (139)

=====

Entry 19:
A relaxed structure of Y3Tl2Rh, computed with GGA-PBE. Values from VASP.

Geometry as Quantum ESPRESSO input:
```
&SYSTEM
  ibrav = 0, nat = 24, ntyp = 3
/
ATOMIC_SPECIES
Y 88.91 Y.upf
Tl 204.38 Tl.upf
Rh 102.91 Rh.upf
CELL_PARAMETERS angstrom
-1.5519 -1.9411 -3.8823
9.2482 1.9313 -4.6626
4.4175 -11.5159 3.9920
ATOMIC_POSITIONS crystal
Y 0.2500 0.3975 0.0607
Y 0.7500 0.6025 0.9393
Y 0.7500 0.8975 0.4393
Y 0.2500 0.1025 0.5607
Y 0.2500 0.7318 0.2667
Y 0.7500 0.2682 0.7333
Y 0.7500 0.2318 0.2333
Y 0.2500 0.7682 0.7667
Y 0.2500 0.4516 0.3906
Y 0.7500 0.5484 0.6094
Y 0.7500 0.9516 0.1094
Y 0.2500 0.0484 0.8906
Tl 0.2500 0.7249 0.5231
Tl 0.7500 0.2751 0.4769
Tl 0.7500 0.2249 0.9769
Tl 0.2500 0.7751 0.0231
Tl 0.2500 0.0333 0.3062
Tl 0.7500 0.9667 0.6938
Tl 0.7500 0.5333 0.1938
Tl 0.2500 0.4667 0.8062
Rh 0.2500 0.1412 0.1085
Rh 0.7500 0.8588 0.8915
Rh 0.7500 0.6412 0.3915
Rh 0.2500 0.3588 0.6085
```

E_form: -0.48 eV/atom
Space-group type: Pnma (62)

=====

Entry 20:
A relaxed structure of Y2TlRh, computed with GGA-PBE. Values from VASP.

Geometry as Quantum ESPRESSO input:
```
&SYSTEM
  ibrav = 0, nat = 4, ntyp = 3
/
ATOMIC_SPECIES
Rh 102.91 Rh.upf
Tl 204.38 Tl.upf
Y 88.91 Y.upf
CELL_PARAMETERS angstrom
6.5753 0.0066 -0.0028
5.6455 3.3708 -0.0028
1.7795 0.4918 4.4732
ATOMIC_POSITIONS crystal
Rh 0.5044 0.5044 0.4953
Tl 0.7995 0.7995 0.7008
Y 0.9930 0.9930 0.0069
Y 0.2031 0.2031 0.2970
```

E_form: -0.45 eV/atom
Space-group type: Imm2 (44)